[1]
The following is a PBE calculation of an optimized crystal structure of Pd2RuI, from the Alexandria database.

POSCAR file:
```
Pd2RuI
1.0
7.450 0.000 0.000
0.000 7.450 0.000
3.725 3.725 2.708
Ru I Pd
2 2 4
Cartesian
3.725 3.725 0.000
3.725 7.450 1.354
0.000 0.000 0.000
7.450 3.725 1.354
5.587 5.625 2.031
1.900 5.587 0.677
5.550 1.862 0.677
9.312 9.275 2.031
```

Calculated values
- symmetry = No. 122

=====

[2]
The following is a PBE calculation of an optimized crystal structure of PdRu2I, from the Alexandria database.

POSCAR file:
```
PdRu2I
1.0
0.000 3.194 3.194
3.194 0.000 3.194
3.194 3.194 0.000
I Pd Ru
1 1 2
Cartesian
3.194 3.194 3.194
0.000 0.000 0.000
1.597 1.597 1.597
4.791 4.791 4.791
```

Calculated values
- symmetry = No. 225

=====

[3]
The following is a PBE calculation of an optimized crystal structure of Pd3RuI, from the Alexandria database.

POSCAR file:
```
Pd3RuI
1.0
4.915 0.000 0.000
0.000 4.915 0.000
0.000 0.000 4.915
Pd I Ru
3 1 1
Cartesian
2.458 0.000 0.000
0.000 0.000 2.458
0.000 2.458 0.000
0.000 0.000 0.000
2.458 2.458 2.458
```

Calculated values
- symmetry = No. 221

=====

[4]
The following is a PBE calculation of an optimized crystal structure of PdRuI, from the Alexandria database.

POSCAR file:
```
PdRuI
1.0
3.115 0.081 -0.143
-0.136 3.616 -0.931
0.704 -4.461 12.578
Pd Ru I
2 2 2
Cartesian
2.681 -1.089 6.633
1.001 0.325 4.872
2.442 1.847 3.074
1.240 -2.612 8.431
2.444 -0.404 1.832
1.239 -0.360 9.673
```

Calculated values
- symmetry = No. 11

=====

[5]
The following is a PBE calculation of an optimized crystal structure of PdRuI2, from the Alexandria database.

POSCAR file:
```
PdRuI2
1.0
-0.250 -2.263 -5.820
-2.387 -5.347 2.182
-6.647 -1.671 -2.420
Pd I Ru
2 4 2
Cartesian
-4.108 -3.870 -5.029
0.000 0.000 0.000
-6.013 -4.194 -3.144
-7.254 -7.826 -5.033
-3.189 -4.079 -0.063
-2.112 -2.464 -3.876
-1.319 -3.805 -1.819
-5.177 -5.412 -1.028
```

Calculated values
- symmetry = No. 122

=====

[6]
The following is a PBE calculation of an optimized crystal structure of SbPdRuI2, from the Alexandria database.

POSCAR file:
```
SbPdRuI2
1.0
-2.507 -3.306 3.553
4.832 -1.324 2.177
-0.434 3.938 3.357
I Ru Sb Pd
2 1 1 1
Cartesian
-1.253 -1.653 1.777
2.416 -0.662 1.088
0.946 -0.346 4.544
-0.217 1.969 1.679
0.000 0.000 0.000
```

Calculated values
- symmetry = No. 123

=====

[7]
The following is a PBE calculation of an optimized crystal structure of SbPdRuI2, from the Alexandria database.

POSCAR file:
```
SbPdRuI2
1.0
5.485 0.000 0.000
0.000 5.485 0.000
0.000 0.000 4.953
Ru Sb Pd I
1 1 1 2
Cartesian
0.000 0.000 0.000
0.000 0.000 2.476
2.742 2.742 2.476
2.742 0.000 0.000
0.000 2.742 0.000
```

Calculated values
- symmetry = No. 123

=====

[8]
The following is a PBE calculation of an optimized crystal structure of PdRu2SeI, from the Alexandria database.

POSCAR file:
```
PdRu2SeI
1.0
-3.502 1.002 2.657
1.830 -4.165 3.983
2.491 3.111 2.109
Pd I Ru Se
1 1 2 1
Cartesian
0.409 -0.026 4.375
0.915 -2.083 1.992
-1.751 0.501 1.329
1.245 1.556 1.055
0.000 0.000 0.000
```

Calculated values
- symmetry = No. 123

=====

[9]
The following is a PBE calculation of an optimized crystal structure of PdRu2SeI, from the Alexandria database.

POSCAR file:
```
PdRu2SeI
1.0
-0.711 -2.793 3.965
3.341 -3.233 -1.678
3.542 2.438 2.353
Pd Ru Se I
1 2 1 1
Cartesian
1.670 -1.616 -0.839
1.771 1.219 1.176
-0.356 -1.396 1.982
3.086 -1.794 2.319
0.000 0.000 0.000
```

Calculated values
- symmetry = No. 123

=====

[10]
The following is a PBE calculation of an optimized crystal structure of SiPdRuI2, from the Alexandria database.

POSCAR file:
```
SiPdRuI2
1.0
5.336 0.000 0.000
0.000 5.039 0.000
0.000 0.000 5.336
Pd I Ru Si
1 2 1 1
Cartesian
0.000 0.000 0.000
2.668 0.000 0.000
0.000 0.000 2.668
0.000 2.519 0.000
2.668 2.519 2.668
```

Calculated values
- symmetry = No. 123

=====

[11]
The following is a PBE calculation of an optimized crystal structure of TePdRuI2, from the Alexandria database.

POSCAR file:
```
TePdRuI2
1.0
-4.515 2.005 2.250
-2.312 -4.904 -0.270
1.904 -1.165 4.859
Te Ru I Pd
1 1 2 1
Cartesian
0.952 -0.583 2.429
-2.462 -2.032 3.419
-2.258 1.003 1.125
-1.156 -2.452 -0.135
0.000 0.000 0.000
```

Calculated values
- symmetry = No. 123

=====

[12]
The following is a PBE calculation of an optimized crystal structure of TePdRuI2, from the Alexandria database.

POSCAR file:
```
TePdRuI2
1.0
-4.551 2.529 -1.928
-1.562 -4.709 -2.492
-2.467 -1.336 4.070
Ru I Pd Te
1 2 1 1
Cartesian
0.000 0.000 0.000
-2.275 1.265 -0.964
-0.781 -2.355 -1.246
-4.290 -1.758 -0.175
-1.233 -0.668 2.035
```

Calculated values
- symmetry = No. 123

=====

[13]
The following is a PBE calculation of an optimized crystal structure of Ti2PdRuI, from the Alexandria database.

POSCAR file:
```
Ti2PdRuI
1.0
-2.928 -3.664 -0.420
0.978 -1.323 4.726
-3.571 2.683 1.490
Ru Ti I Pd
1 2 1 1
Cartesian
0.489 -0.662 2.363
-1.464 -1.832 -0.210
-1.786 1.342 0.745
-2.761 -1.152 2.898
0.000 0.000 0.000
```

Calculated values
- symmetry = No. 123

=====

[14]
The following is a PBE calculation of an optimized crystal structure of TlPdRu2I, from the Alexandria database.

POSCAR file:
```
TlPdRu2I
1.0
-3.934 -0.924 2.997
1.818 -4.785 0.912
2.597 1.738 3.943
Ru Tl Pd I
2 1 1 1
Cartesian
1.298 0.869 1.972
-1.967 -0.462 1.499
0.909 -2.392 0.456
0.000 0.000 0.000
0.241 -1.985 3.926
```

Calculated values
- symmetry = No. 123

=====

[15]
The following is a PBE calculation of an optimized crystal structure of Pd4S2I5, from the Alexandria database.

POSCAR file:
```
Pd4S2I5
1.0
-1.747 1.386 3.056
-7.387 -2.567 -3.058
4.406 -9.484 4.478
I Pd S
5 4 2
Cartesian
-4.671 -5.511 -0.170
-0.873 0.693 1.528
-1.722 -3.410 0.562
-0.056 -5.153 4.646
-3.006 -7.255 3.913
-2.860 -10.009 5.246
-0.605 -6.973 2.816
-1.867 -0.655 -0.770
-4.122 -3.691 1.659
0.476 -9.282 4.481
-5.203 -1.382 -0.006
```

Calculated values
- symmetry = No. 12

=====

[16]
The following is a PBE calculation of an optimized crystal structure of PdS2I2, from the Alexandria database.

POSCAR file:
```
PdS2I2
1.0
-3.622 2.358 -3.000
-2.717 -1.859 1.820
-10.520 2.031 9.680
S Pd I
2 1 2
Cartesian
-14.483 2.798 8.432
-2.375 -0.267 0.068
0.000 0.000 0.000
-9.367 2.208 3.816
-7.492 0.322 4.684
```

Calculated values
- symmetry = No. 65

=====

[17]
The following is a PBE calculation of an optimized crystal structure of Pd2S8I, from the Alexandria database.

POSCAR file:
```
Pd2S8I
1.0
1.768 -3.076 -2.827
13.487 -10.858 -2.857
-12.869 2.347 5.017
S I Pd
8 1 2
Cartesian
6.329 -7.488 -0.776
1.446 -7.428 0.172
-5.430 -3.896 1.405
7.816 -7.692 -2.072
-0.927 -4.916 -0.547
3.313 -6.671 -0.120
-3.943 -4.100 0.109
0.940 -4.160 -0.839
0.884 -1.538 -1.413
4.321 -7.640 -2.029
-1.936 -3.947 1.362
```

Calculated values
- symmetry = No. 2

=====

[18]
The following is a PBE calculation of an optimized crystal structure of Pd2SI, from the Alexandria database.

POSCAR file:
```
Pd2SI
1.0
-2.994 2.285 1.496
-1.669 -0.932 3.574
3.060 4.411 4.878
S I Pd
1 1 2
Cartesian
-0.802 2.882 4.973
0.000 0.000 0.000
1.258 2.865 3.633
-2.862 2.899 6.314
```

Calculated values
- symmetry = No. 166

=====

[19]
The following is a PBE calculation of an optimized crystal structure of Pd3SI, from the Alexandria database.

POSCAR file:
```
Pd3SI
1.0
-0.280 -4.940 -0.694
4.065 -0.628 2.837
-2.892 -0.406 4.054
I Pd S
1 3 1
Cartesian
0.000 0.000 0.000
-1.446 -0.203 2.027
2.032 -0.314 1.418
-0.140 -2.470 -0.347
0.447 -2.987 3.098
```

Calculated values
- symmetry = No. 221

=====

[20]
The following is a PBE calculation of an optimized crystal structure of Pd3SI, from the Alexandria database.

POSCAR file:
```
Pd3SI
1.0
4.655 0.000 0.000
0.000 4.655 0.000
0.000 0.000 4.655
S Pd I
1 3 1
Cartesian
0.000 0.000 0.000
0.000 2.327 0.000
0.000 0.000 2.327
2.327 0.000 0.000
2.327 2.327 2.327
```

Calculated values
- symmetry = No. 221

=====

[21]
The following is a PBE calculation of an optimized crystal structure of Pd2SI, from the Alexandria database.

POSCAR file:
```
Pd2SI
1.0
6.043 0.000 0.000
0.000 6.043 0.000
3.021 3.021 5.366
I Pd S
2 4 2
Cartesian
6.043 3.021 2.683
0.000 0.000 0.000
4.101 1.511 1.341
1.941 4.532 1.341
4.532 4.963 4.024
7.553 7.123 4.024
3.021 6.043 2.683
3.021 3.021 0.000
```

Calculated values
- symmetry = No. 122

=====

[22]
The following is a PBE calculation of an optimized crystal structure of PdS2I, from the Alexandria database.

POSCAR file:
```
PdS2I
1.0
2.204 0.000 7.569
-1.102 1.908 7.569
-1.102 -1.908 7.569
Pd S I
1 2 1
Cartesian
0.000 0.000 11.354
0.000 0.000 20.070
0.000 0.000 2.638
0.000 0.000 0.000
```

Calculated values
- symmetry = No. 166

=====

[23]
The following is a PBE calculation of an optimized crystal structure of PdS2I, from the Alexandria database.

POSCAR file:
```
PdS2I
1.0
2.434 0.000 7.456
-1.217 2.108 7.456
-1.217 -2.108 7.456
Pd S I
1 2 1
Cartesian
0.000 0.000 0.000
0.000 0.000 2.211
0.000 0.000 20.156
0.000 0.000 11.184
```

Calculated values
- symmetry = No. 166

=====

[24]
The following is a PBE calculation of an optimized crystal structure of Pd2SI, from the Alexandria database.

POSCAR file:
```
Pd2SI
1.0
0.000 3.336 3.336
3.336 0.000 3.336
3.336 3.336 0.000
Pd I S
2 1 1
Cartesian
5.004 5.004 5.004
1.668 1.668 1.668
3.336 3.336 3.336
0.000 0.000 0.000
```

Calculated values
- symmetry = No. 225

=====

[25]
The following is a PBE calculation of an optimized crystal structure of PdS2I, from the Alexandria database.

POSCAR file:
```
PdS2I
1.0
6.842 0.000 0.000
0.000 6.842 0.000
3.421 3.421 4.074
S I Pd
4 2 2
Cartesian
5.132 5.615 3.056
8.553 8.070 3.056
2.194 5.132 1.019
4.649 1.711 1.019
0.000 0.000 0.000
6.842 3.421 2.037
3.421 6.842 2.037
3.421 3.421 0.000
```

Calculated values
- symmetry = No. 122

=====

[26]
The following is a PBE calculation of an optimized crystal structure of PdS2I, from the Alexandria database.

POSCAR file:
```
PdS2I
1.0
0.000 3.356 3.356
3.356 0.000 3.356
3.356 3.356 0.000
I S Pd
1 2 1
Cartesian
3.356 3.356 3.356
1.678 1.678 1.678
5.035 5.035 5.035
0.000 0.000 0.000
```

Calculated values
- symmetry = No. 225

=====

[27]
The following is a PBE calculation of an optimized crystal structure of Pd2S3I, from the Alexandria database.

POSCAR file:
```
Pd2S3I
1.0
7.320 0.000 0.000
-3.660 6.340 0.000
0.000 0.000 5.652
Pd S I
4 6 2
Cartesian
-1.830 3.170 0.000
3.660 0.000 0.000
0.000 0.000 0.000
1.830 3.170 0.000
0.000 2.180 4.516
5.432 1.090 1.136
1.888 1.090 1.136
-1.772 5.250 4.516
3.660 4.159 1.136
1.772 5.250 4.516
3.660 2.113 3.568
0.000 4.226 2.084
```

Calculated values
- symmetry = No. 164

=====

Number 1: formation energy without anion corrections 0.6201 eV/atom. Number 2: formation energy without anion corrections 0.7661 eV/atom. Number 3: formation energy without anion corrections 1.2373 eV/atom. Number 4: formation energy without anion corrections 0.4262 eV/atom. Number 5: formation energy without anion corrections 0.4614 eV/atom. Number 6: formation energy without anion corrections 1.0441 eV/atom. Number 7: formation energy without anion corrections 0.7096 eV/atom. Number 8: formation energy without anion corrections 1.2364 eV/atom. Number 9: formation energy without anion corrections 1.4984 eV/atom. Number 10: formation energy without anion corrections 1.2554 eV/atom. Number 11: formation energy without anion corrections 0.9866 eV/atom. Number 12: formation energy without anion corrections 0.6954 eV/atom. Number 13: formation energy without anion corrections 0.9086 eV/atom. Number 14: formation energy without anion corrections 1.3343 eV/atom. Number 15: formation energy without anion corrections -0.1385 eV/atom. Number 16: formation energy without anion corrections 0.1592 eV/atom. Number 17: formation energy without anion corrections 0.0202 eV/atom. Number 18: formation energy without anion corrections -0.0133 eV/atom. Number 19: formation energy without anion corrections 0.8703 eV/atom. Number 20: formation energy without anion corrections 0.0532 eV/atom. Number 21: formation energy without anion corrections -0.0580 eV/atom. Number 22: formation energy without anion corrections -0.0562 eV/atom. Number 23: formation energy without anion corrections 0.6174 eV/atom. Number 24: formation energy without anion corrections 0.3217 eV/atom. Number 25: formation energy without anion corrections 0.3022 eV/atom. Number 26: formation energy without anion corrections 0.8115 eV/atom. Number 27: formation energy without anion corrections -0.1161 eV/atom.